Entry from Alexandria: a relaxed Tb6Te3C2Se crystal (PBE).

POSCAR file:
```
Tb6Te3C2Se
1.0
9.077 -1.976 0.000
9.077 1.976 0.000
-2.332 0.000 8.096
Tb Te C Se
6 3 2 1
direct
0.030 0.030 0.257
0.318 0.318 0.448
0.327 0.327 0.861
0.673 0.673 0.139
0.682 0.682 0.552
0.970 0.970 0.743
0.157 0.157 0.833
0.500 0.500 0.500
0.843 0.843 0.167
0.171 0.171 0.336
0.829 0.829 0.664
0.500 0.500 0.000
```

## Properties
The space group is No. 12. Its crystal system is monoclinic. For the electronic total energy, the calculation gives -6.06 eV per atom. The value obtained for the total moment is 0.000 μB/cell.


Entry from Alexandria: a relaxed PmNd7Ho3 crystal (PBE).

POSCAR file:
```
PmNd7Ho3
1.0
9.633 -3.628 0.000
9.633 3.628 0.000
-5.477 0.000 11.320
Pm Nd Ho
2 14 6
direct
0.000 0.000 0.000
0.000 0.000 0.500
0.080 0.584 0.470
0.081 0.583 0.971
0.236 0.764 0.750
0.332 0.346 0.225
0.346 0.332 0.725
0.416 0.920 0.030
0.417 0.919 0.529
0.583 0.081 0.471
0.584 0.080 0.970
0.654 0.668 0.275
0.668 0.654 0.775
0.764 0.236 0.250
0.919 0.417 0.029
0.920 0.416 0.530
0.165 0.172 0.276
0.172 0.165 0.776
0.500 0.500 0.000
0.500 0.500 0.500
0.828 0.835 0.224
0.835 0.828 0.724
```

## Properties
As for the energy above the lowest structure with this stoichiometry: 0.00 eV/f.u. The space group is No. 15. Its crystal system is monoclinic. The value obtained for the total moment is 0.000 μB/cell.


Entry from Alexandria: a relaxed KInH crystal (PBE).

POSCAR file:
```
KInH
1.0
3.518 0.000 0.000
0.000 3.518 0.000
0.000 0.000 5.662
K In H
1 1 1
direct
0.000 0.000 0.000
0.500 0.500 0.481
0.500 0.500 0.824
```

## Properties
As for the energy above the lowest structure with this stoichiometry: 0.05 eV/f.u. The space group is No. 99. Its crystal system is tetragonal. The value obtained for the total moment is 0.000 μB/cell.


Entry from Alexandria: a relaxed CaPAu crystal (PBE).

POSCAR file:
```
CaPAu
1.0
5.902 0.000 0.000
0.000 5.902 0.000
-2.946 0.000 7.433
Ca P Au
4 4 4
direct
0.000 0.125 0.000
0.000 0.875 0.500
0.500 0.375 0.500
0.500 0.625 0.000
0.418 0.126 0.836
0.418 0.874 0.336
0.918 0.374 0.336
0.918 0.626 0.836
0.083 0.375 0.666
0.083 0.625 0.166
0.583 0.125 0.166
0.583 0.875 0.666
```

## Properties
The space group is No. 9. Its crystal system is monoclinic. For the electronic total energy, the calculation gives -4.39 eV per atom. The value obtained for the total moment is 0.000 μB/cell.


Entry from Alexandria: a relaxed Pm12Ge6B crystal (PBE).

POSCAR file:
```
Pm12Ge6B
1.0
6.408 3.700 4.076
-6.408 3.700 4.076
0.000 -7.399 4.076
Pm Ge B
12 6 1
direct
0.037 0.935 0.688
0.065 0.312 0.963
0.188 0.568 0.428
0.312 0.963 0.065
0.428 0.188 0.568
0.432 0.572 0.812
0.568 0.428 0.188
0.572 0.812 0.432
0.688 0.037 0.935
0.812 0.432 0.572
0.935 0.688 0.037
0.963 0.065 0.312
0.125 0.298 0.616
0.298 0.616 0.125
0.384 0.875 0.702
0.616 0.125 0.298
0.702 0.384 0.875
0.875 0.702 0.384
0.000 0.000 0.000
```

## Properties
The space group is No. 148. Its crystal system is trigonal. For the electronic total energy, the calculation gives -5.28 eV per atom. The value obtained for the total moment is 0.000 μB/cell.


Entry from Alexandria: a relaxed LuCdGe crystal (PBE).

POSCAR file:
```
LuCdGe
1.0
4.734 0.000 0.000
-2.367 4.100 0.000
0.000 0.000 3.320
Lu Cd Ge
1 1 1
direct
0.000 0.000 0.000
0.333 0.667 0.496
0.667 0.333 0.508
```

## Properties
The space group is No. 156. Its crystal system is trigonal. For the electronic total energy, the calculation gives -3.68 eV per atom. The value obtained for the total moment is 0.000 μB/cell.